Here is a relaxed structure of CrIF3 from the Alexandria database. Energies are from PBE with a Hubbard U.

Cell: 4.236 4.236 4.236 Å, 90.00 90.00 90.00°
Space group Pm-3m (No. 221)
One atom of each set of equivalent atoms:
Cr (0.000, 0.000, 0.000) x1
I (0.500, 0.500, 0.500) x1
F (0.000, 0.000, 0.500) x3

Calculated values
As for the size of the total moment: 3.46 μB per cell. The total energy is -22.20 eV/cell.

---

Here is a relaxed structure of CrIF2 from the Alexandria database. Energies are from PBE with a Hubbard U.

Cell: 6.425 6.425 6.425 Å, 90.00 90.00 90.00°
Space group Fm-3m (No. 225)
One atom of each set of equivalent atoms:
Cr (0.000, 0.000, 0.000) x4
I (0.000, 0.000, 0.500) x4
F (0.250, 0.250, 0.250) x8

Calculated values
As for the size of the total moment: 12.18 μB per cell. The total energy is -63.24 eV/cell.

---

Here is a relaxed structure of CrI3F from the Alexandria database. Energies are from PBE with a Hubbard U.

Cell: 5.519 5.519 5.519 Å, 90.00 90.00 90.00°
Space group Pm-3m (No. 221)
One atom of each set of equivalent atoms:
Cr (0.000, 0.000, 0.000) x1
I (0.000, 0.000, 0.500) x3
F (0.500, 0.500, 0.500) x1

Calculated values
As for the size of the total moment: 4.20 μB per cell. The total energy is -14.34 eV/cell.

---

Here is a relaxed structure of CrInI2F from the Alexandria database. Energies are from PBE with a Hubbard U.

Cell: 5.997 5.997 4.039 Å, 90.00 90.00 90.00°
Space group P4/mmm (No. 123)
One atom of each set of equivalent atoms:
Cr (0.000, 0.000, 0.000) x1
In (0.500, 0.500, 0.500) x1
I (0.000, 0.500, 0.000) x2
F (0.000, 0.000, 0.500) x1

Calculated values
As for the size of the total moment: 4.00 μB per cell. The total energy is -20.47 eV/cell.